(1)
ScIn2Au PBEsol optimized geometry; total DFT energy (no corrections) = -4.316 eV/atom; symmetry = R-3m
1.0
1.657 0.957 9.020
-1.657 0.957 9.020
0.000 -1.914 9.020
Sc In Au
1 2 1
Direct
0.000 0.000 0.000
0.244 0.244 0.244
0.756 0.756 0.756
0.500 0.500 0.500



(2)
Ni2OsSe PBEsol optimized geometry; symmetry = Immm; ΔE_f (raw) = 0.385 eV per atom
1.0
-1.428 2.135 4.135
1.428 -2.135 4.135
1.428 2.135 -4.135
Ni Os Se
2 1 1
Direct
0.229 0.229 0.000
0.771 0.771 0.000
0.500 0.000 0.500
0.000 0.500 0.500